This record from Alexandria via LeMat-Bulk describes Ac3Ag6Pb5 after structural relaxation. The functional is PBE-GGA.

Computed properties:
Space-group type: Immm (71)
VASP energy in eV/atom: -3.703
Mass density in g/cm³: 10.34
DFT formation energy in eV per atom: -0.2765

Cell lengths 9.342, 9.342, 9.342 Å; angles 149.85, 109.08, 78.95 degrees
Fractional positions:
Ac: 0.000 0.000 0.000
Ac: 0.313 0.313 0.000
Ac: 0.687 0.687 0.000
Ag: 0.152 0.873 0.278
Ag: 0.294 0.500 0.794
Ag: 0.405 0.127 0.278
Ag: 0.595 0.873 0.722
Ag: 0.706 0.500 0.206
Ag: 0.848 0.127 0.722
Pb: 0.026 0.669 0.357
Pb: 0.312 0.669 0.643
Pb: 0.500 0.000 0.500
Pb: 0.688 0.331 0.357
Pb: 0.974 0.331 0.643


This record from Alexandria via LeMat-Bulk describes NaSrTeN2 after structural relaxation. The functional is PBE-GGA.

Computed properties:
Uncorrected formation energy in eV/f.u.: 4.81
Space-group type: P4/mmm (123)
VASP energy in eV/atom: -3.596
Mass density in g/cm³: 3.38

Cell lengths 4.731, 4.731, 5.851 Å; angles 90.00, 90.00, 90.00 degrees
Fractional positions:
Na: 0.000 0.000 0.000
Sr: 0.500 0.500 0.500
Te: 0.000 0.000 0.500
N: 0.000 0.500 0.000
N: 0.500 0.000 0.000